Record 1
Below is Mg2ZrAgAs after structural relaxation, with properties calculated at the PBE-GGA level.

Lattice parameters (Å, degrees): 5.700 5.057 5.700 90.00 90.00 90.00
Element x y z (fractional)
Mg: 0.500 0.000 0.000
Mg: 0.000 0.000 0.500
As: 0.000 0.500 0.000
Zr: 0.000 0.000 0.000
Ag: 0.500 0.500 0.500

* total magnetization: 0.00 μB/f.u.
* VASP energy: -15.64 eV per cell
* DFT formation energy: 0.72 eV per atom

Record 2
Below is Ba2NbMo after structural relaxation, with properties calculated at the PBE-GGA level.

Lattice parameters (Å, degrees): 5.708 5.708 5.708 60.00 60.00 60.00
Element x y z (fractional)
Ba: 0.250 0.250 0.250
Ba: 0.750 0.750 0.750
Mo: 0.500 0.500 0.500
Nb: 0.000 0.000 0.000

* total magnetization: 6.41 μB/f.u.
* VASP energy: -18.40 eV per cell
* DFT formation energy: 1.59 eV per atom

Record 3
Below is PaPHRu after structural relaxation, with properties calculated at the PBE-GGA level.

Lattice parameters (Å, degrees): 4.029 4.029 6.799 90.00 90.00 90.00
Element x y z (fractional)
Ru: 0.500 0.500 0.000
Ru: 0.000 0.000 0.000
P: 0.000 0.500 0.799
P: 0.500 0.000 0.201
H: 0.500 0.500 0.500
H: 0.000 0.000 0.500
Pa: 0.500 0.000 0.667
Pa: 0.000 0.500 0.333

* total magnetization: 0.00 μB/f.u.
* VASP energy: -61.87 eV per cell